A plane-wave DFT calculation with PBE-GGA was carried out for a relaxed structure of HfNi3H.

Cell: 5.2893 5.2893 13.7579 Å, 90.00 90.00 120.00°
Space group R3m (No. 160, hexagonal axes)
One atom of each set of equivalent atoms:
Hf 0.0000 0.0000 0.0000 (multiplicity 3)
Hf 0.0000 0.0000 0.4966 (multiplicity 3)
Ni 0.0067 0.5034 0.9962 (multiplicity 9)
Ni 0.0147 0.5074 0.5040 (multiplicity 9)
H 0.0000 0.0000 0.1489 (multiplicity 3)
H 0.0000 0.0000 0.7101 (multiplicity 3)

E above lowest polymorph = 0 meV per atom
Crystal system = trigonal
Density = 10.628 g/cm3
Uncorrected energy = -192.7 eV per cell

A plane-wave DFT calculation with PBE-GGA was carried out for a relaxed structure of BaTl6In.

Cell: 6.443 6.443 6.443 Å, 90.00 90.00 90.00°
Space group Pm-3 (No. 200)
One atom of each set of equivalent atoms:
Ba 0.000 0.000 0.000 (multiplicity 1)
Tl 0.000 0.259 0.500 (multiplicity 6)
In 0.500 0.500 0.500 (multiplicity 1)

E above lowest polymorph = 101 meV per atom
Crystal system = cubic
Density = 9.180 g/cm3
Formation enthalpy at 0 K = -34 meV per atom
Uncorrected energy = -19.1 eV per cell

- What is the E above lowest polymorph in the second record?
  101 meV per atom

Repeat the first record exactly.
A plane-wave DFT calculation with PBE-GGA was carried out for a relaxed structure of HfNi3H.

Cell: 5.2893 5.2893 13.7579 Å, 90.00 90.00 120.00°
Space group R3m (No. 160, hexagonal axes)
One atom of each set of equivalent atoms:
Hf 0.0000 0.0000 0.0000 (multiplicity 3)
Hf 0.0000 0.0000 0.4966 (multiplicity 3)
Ni 0.0067 0.5034 0.9962 (multiplicity 9)
Ni 0.0147 0.5074 0.5040 (multiplicity 9)
H 0.0000 0.0000 0.1489 (multiplicity 3)
H 0.0000 0.0000 0.7101 (multiplicity 3)

E above lowest polymorph = 0 meV per atom
Crystal system = trigonal
Density = 10.628 g/cm3
Uncorrected energy = -192.7 eV per cell

- Which formula does entry 1 have?
  HfNi3H